# La5AuSe4 PBE optimized geometry
data_La5AuSe4
_chemical_formula_sum 'La5 Au1 Se4'
_symmetry_space_group_name_H-M 'P 1'
_symmetry_Int_Tables_number 1
_cell_length_a 4.3041
_cell_length_b 6.1599
_cell_length_c 11.5429
_cell_angle_alpha 105.48
_cell_angle_beta 100.75
_cell_angle_gamma 90.00
loop_
_symmetry_equiv_pos_as_xyz
'x,y,z'
loop_
_atom_site_label
_atom_site_type_symbol
_atom_site_fract_x
_atom_site_fract_y
_atom_site_fract_z
Se1 Se 0.2014 0.2014 0.4029
Se2 Se 0.6007 0.6007 0.2014
La1 La 0.0000 0.5000 0.0000
La2 La 0.1990 0.6990 0.3981
La3 La 0.6014 0.1014 0.2029
Se3 Se 0.3993 0.3993 0.7986
Au1 Au 0.0000 0.0000 0.0000
Se4 Se 0.7986 0.7986 0.5971
La4 La 0.8010 0.3010 0.6019
La5 La 0.3986 0.8986 0.7971
# Space-group type: Immm (71)
# DOS at the Fermi energy in states/eV/f.u.: 8.282
# Final energy in eV/atom: -5.9249
# Raw formation energy in kJ/mol of atoms: -167.85



# LaAu2Se PBE optimized geometry
data_LaAu2Se
_chemical_formula_sum 'La1 Au2 Se1'
_symmetry_space_group_name_H-M 'P 1'
_symmetry_Int_Tables_number 1
_cell_length_a 4.0888
_cell_length_b 6.7088
_cell_length_c 4.0971
_cell_angle_alpha 72.18
_cell_angle_beta 90.12
_cell_angle_gamma 107.78
loop_
_symmetry_equiv_pos_as_xyz
'x,y,z'
loop_
_atom_site_label
_atom_site_type_symbol
_atom_site_fract_x
_atom_site_fract_y
_atom_site_fract_z
La1 La 0.0000 0.5000 0.5000
Se1 Se 0.5000 0.5000 0.0000
Au1 Au 0.5000 0.0000 0.5000
Au2 Au 0.0000 0.0000 0.0000
# Space-group type: Fmmm (69)
# DOS at the Fermi energy in states/eV/f.u.: 1.840
# Final energy in eV/atom: -4.5302
# Raw formation energy in kJ/mol of atoms: -76.08



# La3Au5Se12 PBE optimized geometry
data_La3Au5Se12
_chemical_formula_sum 'La12 Au20 Se48'
_symmetry_space_group_name_H-M 'P 1'
_symmetry_Int_Tables_number 1
_cell_length_a 14.1666
_cell_length_b 14.1666
_cell_length_c 14.1666
_cell_angle_alpha 109.47
_cell_angle_beta 109.47
_cell_angle_gamma 109.47
loop_
_symmetry_equiv_pos_as_xyz
'x,y,z'
loop_
_atom_site_label
_atom_site_type_symbol
_atom_site_fract_x
_atom_site_fract_y
_atom_site_fract_z
Se1 Se 0.4193 0.1262 0.5887
Au1 Au 0.5000 0.0000 0.5000
Au2 Au 0.5000 0.0000 0.0000
Au3 Au 0.5000 0.5000 0.5000
La1 La 0.8750 0.7500 0.1250
Se2 Se 0.8306 0.9193 0.2931
Se3 Se 0.0887 0.9193 0.1262
Au4 Au 0.5000 0.5000 0.0000
Se4 Se 0.0807 0.9113 0.3738
La2 La 0.8750 0.1250 0.2500
Se5 Se 0.1262 0.7069 0.5375
Au5 Au 0.1250 0.7500 0.3750
Se6 Se 0.2069 0.5375 0.6262
Se7 Se 0.7069 0.1262 0.0375
Se8 Se 0.9113 0.0807 0.8738
Au6 Au 0.3750 0.1250 0.7500
Se9 Se 0.6694 0.2069 0.5807
Se10 Se 0.9113 0.8306 0.5375
La3 La 0.6250 0.3750 0.7500
Se11 Se 0.5887 0.6262 0.4193
Au7 Au 0.6250 0.8750 0.2500
Au8 Au 0.7500 0.6250 0.3750
Se12 Se 0.2069 0.6694 0.0807
Au9 Au 0.0000 0.5000 0.0000
Se13 Se 0.5375 0.3306 0.9113
Se14 Se 0.9193 0.0887 0.6262
La4 La 0.3750 0.7500 0.6250
Se15 Se 0.1262 0.4193 0.0887
Se16 Se 0.5807 0.8738 0.4113
Se17 Se 0.0375 0.4113 0.8306
La5 La 0.6250 0.2500 0.3750
Au10 Au 0.1250 0.3750 0.2500
Au11 Au 0.0000 0.0000 0.0000
Se18 Se 0.6694 0.4625 0.5887
Se19 Se 0.1694 0.0807 0.7069
Se20 Se 0.2931 0.4193 0.8306
Au12 Au 0.0000 0.5000 0.5000
Au13 Au 0.8750 0.2500 0.6250
Se21 Se 0.4625 0.6694 0.0887
Se22 Se 0.3738 0.4113 0.0807
Se23 Se 0.4113 0.3738 0.5807
Au14 Au 0.8750 0.6250 0.7500
Se24 Se 0.1694 0.0887 0.9625
Se25 Se 0.2931 0.8738 0.9625
La6 La 0.3750 0.6250 0.2500
Se26 Se 0.8306 0.9113 0.0375
Se27 Se 0.3306 0.5375 0.4113
Se28 Se 0.9625 0.3738 0.2931
Au15 Au 0.2500 0.3750 0.6250
Se29 Se 0.8738 0.5807 0.9113
Se30 Se 0.0807 0.1694 0.2069
Se31 Se 0.6262 0.0375 0.2069
Se32 Se 0.7931 0.4625 0.3738
Se33 Se 0.5807 0.7069 0.6694
Se34 Se 0.0375 0.6262 0.7069
Se35 Se 0.9625 0.5887 0.1694
La7 La 0.7500 0.8750 0.6250
Se36 Se 0.8738 0.2931 0.4625
La8 La 0.1250 0.8750 0.7500
Se37 Se 0.7931 0.3306 0.9193
La9 La 0.2500 0.1250 0.3750
Se38 Se 0.4193 0.2931 0.3306
Se39 Se 0.6262 0.5887 0.9193
Se40 Se 0.0887 0.1694 0.4625
Au16 Au 0.7500 0.1250 0.8750
La10 La 0.1250 0.2500 0.8750
Au17 Au 0.6250 0.7500 0.8750
Au18 Au 0.3750 0.2500 0.1250
Se41 Se 0.3738 0.9625 0.7931
La11 La 0.2500 0.6250 0.8750
Se42 Se 0.7069 0.5807 0.1694
Se43 Se 0.4113 0.0375 0.3306
Au19 Au 0.0000 0.0000 0.5000
Se44 Se 0.9193 0.8306 0.7931
Se45 Se 0.4625 0.7931 0.8738
Au20 Au 0.2500 0.8750 0.1250
Se46 Se 0.3306 0.7931 0.4193
Se47 Se 0.5887 0.9625 0.6694
La12 La 0.7500 0.3750 0.1250
Se48 Se 0.5375 0.2069 0.1262
# Space-group type: Ia-3d (230)
# DOS at the Fermi energy in states/eV/f.u.: 12.900
# Final energy in eV/atom: -4.2832
# Raw formation energy in kJ/mol of atoms: -61.18



# LaAu2Se PBE optimized geometry
data_LaAu2Se
_chemical_formula_sum 'La1 Au2 Se1'
_symmetry_space_group_name_H-M 'P 1'
_symmetry_Int_Tables_number 1
_cell_length_a 4.1630
_cell_length_b 4.1571
_cell_length_c 5.4750
_cell_angle_alpha 90.00
_cell_angle_beta 90.00
_cell_angle_gamma 90.00
loop_
_symmetry_equiv_pos_as_xyz
'x,y,z'
loop_
_atom_site_label
_atom_site_type_symbol
_atom_site_fract_x
_atom_site_fract_y
_atom_site_fract_z
Se1 Se 0.0000 0.5000 0.5000
La1 La 0.5000 0.0000 0.5000
Au1 Au 0.5000 0.5000 0.0000
Au2 Au 0.0000 0.0000 0.0000
# Space-group type: P4/mmm (123)
# DOS at the Fermi energy in states/eV/f.u.: 2.606
# Final energy in eV/atom: -4.5796
# Raw formation energy in kJ/mol of atoms: -80.85



# LaAuSe2 PBE optimized geometry
data_LaAuSe2
_chemical_formula_sum 'La1 Au1 Se2'
_symmetry_space_group_name_H-M 'P 1'
_symmetry_Int_Tables_number 1
_cell_length_a 6.3033
_cell_length_b 6.3033
_cell_length_c 6.3033
_cell_angle_alpha 141.61
_cell_angle_beta 141.61
_cell_angle_gamma 55.42
loop_
_symmetry_equiv_pos_as_xyz
'x,y,z'
loop_
_atom_site_label
_atom_site_type_symbol
_atom_site_fract_x
_atom_site_fract_y
_atom_site_fract_z
La1 La 0.7500 0.2500 0.5000
Se1 Se 0.2500 0.7500 0.5000
Au1 Au 0.5000 0.5000 0.0000
Se2 Se 0.0000 0.0000 0.0000
# Space-group type: I-4m2 (119)
# DOS at the Fermi energy in states/eV/f.u.: 2.038
# Final energy in eV/atom: -4.7939
# Distance to the lowest polymorph of the same formula in eV per atom: 0.296
# Raw formation energy in kJ/mol of atoms: -96.53



# La3AuSe PBE optimized geometry
data_La3AuSe
_chemical_formula_sum 'La3 Au1 Se1'
_symmetry_space_group_name_H-M 'P 1'
_symmetry_Int_Tables_number 1
_cell_length_a 5.6116
_cell_length_b 5.6116
_cell_length_c 5.6116
_cell_angle_alpha 90.00
_cell_angle_beta 90.00
_cell_angle_gamma 90.00
loop_
_symmetry_equiv_pos_as_xyz
'x,y,z'
loop_
_atom_site_label
_atom_site_type_symbol
_atom_site_fract_x
_atom_site_fract_y
_atom_site_fract_z
La1 La 0.5000 0.0000 0.0000
La2 La 0.0000 0.5000 0.0000
Au1 Au 0.5000 0.5000 0.5000
Se1 Se 0.0000 0.0000 0.0000
La3 La 0.0000 0.0000 0.5000
# Space-group type: Pm-3m (221)
# DOS at the Fermi energy in states/eV/f.u.: 7.207
# Final energy in eV/atom: -4.8731
# Distance to the lowest polymorph of the same formula in eV per atom: 0.000
# Raw formation energy in kJ/mol of atoms: -54.45



Question: Which of these has the lowest DOS at the Fermi energy?
Answer: number 2



Question: The highest DOS at the Fermi energy belongs to which entry?
Answer: La3Au5Se12



Copy entry 6 word for word.
# La3AuSe PBE optimized geometry
data_La3AuSe
_chemical_formula_sum 'La3 Au1 Se1'
_symmetry_space_group_name_H-M 'P 1'
_symmetry_Int_Tables_number 1
_cell_length_a 5.6116
_cell_length_b 5.6116
_cell_length_c 5.6116
_cell_angle_alpha 90.00
_cell_angle_beta 90.00
_cell_angle_gamma 90.00
loop_
_symmetry_equiv_pos_as_xyz
'x,y,z'
loop_
_atom_site_label
_atom_site_type_symbol
_atom_site_fract_x
_atom_site_fract_y
_atom_site_fract_z
La1 La 0.5000 0.0000 0.0000
La2 La 0.0000 0.5000 0.0000
Au1 Au 0.5000 0.5000 0.5000
Se1 Se 0.0000 0.0000 0.0000
La3 La 0.0000 0.0000 0.5000
# Space-group type: Pm-3m (221)
# DOS at the Fermi energy in states/eV/f.u.: 7.207
# Final energy in eV/atom: -4.8731
# Distance to the lowest polymorph of the same formula in eV per atom: 0.000
# Raw formation energy in kJ/mol of atoms: -54.45